# 1
Here is an optimized crystal structure of Nd2TmAg4 from Alexandria via LeMat-Bulk. Energies are from GGA-PBE.

Properties
ΔH_f (0 K)	-0.105	eV per atom

```
data_Nd2TmAg4
_chemical_formula_sum 'Nd4 Tm2 Ag8'
_cell_length_a 5.353
_cell_length_b 5.353
_cell_length_c 12.963
_cell_angle_alpha 90.00
_cell_angle_beta 90.00
_cell_angle_gamma 90.00
_space_group_name_H-M_alt 'I 4/m m m'
_space_group_IT_number 139
_space_group_name_Hall '-I 4 2'
loop_
_atom_site_label
_atom_site_type_symbol
_atom_site_fract_x
_atom_site_fract_y
_atom_site_fract_z
Nd1 Nd 0.000 0.000 0.221
Tm1 Tm 0.000 0.000 0.500
Ag1 Ag 0.000 0.500 0.113
```

***

# 2
Here is an optimized crystal structure of ScVRe2Ni from Alexandria via LeMat-Bulk. Energies are from GGA-PBE.

Properties
ΔH_f (0 K)	1.226	eV per atom

```
data_ScVRe2Ni
_chemical_formula_sum 'Sc1 V1 Re2 Ni1'
_cell_length_a 4.531
_cell_length_b 4.531
_cell_length_c 4.315
_cell_angle_alpha 90.00
_cell_angle_beta 90.00
_cell_angle_gamma 90.00
_space_group_name_H-M_alt 'P 4/m m m'
_space_group_IT_number 123
_space_group_name_Hall '-P 4 2'
loop_
_atom_site_label
_atom_site_type_symbol
_atom_site_fract_x
_atom_site_fract_y
_atom_site_fract_z
Sc1 Sc 0.000 0.000 0.000
V1 V 0.500 0.500 0.000
Re1 Re 0.000 0.500 0.500
Ni1 Ni 0.000 0.000 0.500
```

***

# 3
Here is an optimized crystal structure of Cs3HSe2 from Alexandria via LeMat-Bulk. Energies are from GGA-PBE.

Properties
raw total energy	-3.03	eV per atom

```
data_Cs3HSe2
_chemical_formula_sum 'Cs12 H4 Se8'
_cell_length_a 4.858
_cell_length_b 14.880
_cell_length_c 14.244
_cell_angle_alpha 90.00
_cell_angle_beta 91.31
_cell_angle_gamma 90.00
_space_group_name_H-M_alt 'P 1 21/c 1'
_space_group_IT_number 14
loop_
_space_group_symop_operation_xyz
'x,y,z'
'-x,-y,-z'
'-x,y+1/2,-z+1/2'
'x,-y+1/2,z+1/2'
loop_
_atom_site_label
_atom_site_type_symbol
_atom_site_fract_x
_atom_site_fract_y
_atom_site_fract_z
Cs1 Cs 0.233 0.041 0.137
Cs2 Cs 0.243 0.687 0.786
Cs3 Cs 0.246 0.109 0.445
H1 H 0.445 0.167 0.950
Se1 Se 0.259 0.017 0.687
Se2 Se 0.266 0.683 0.517
```

***

# 4
Here is an optimized crystal structure of SiAsP2 from Alexandria via LeMat-Bulk. Energies are from GGA-PBE.

Properties
energy relative to the elements, uncorrected	0.6243	eV per atom
energy above the lowest structure with this stoichiometry	523	meV per atom

```
data_SiAsP2
_chemical_formula_sum 'Si1 As1 P2'
_cell_length_a 3.143
_cell_length_b 4.392
_cell_length_c 4.514
_cell_angle_alpha 90.00
_cell_angle_beta 90.00
_cell_angle_gamma 90.00
_space_group_name_H-M_alt 'P m m m'
_space_group_IT_number 47
loop_
_space_group_symop_operation_xyz
'x,y,z'
'-x,-y,-z'
'-x,-y,z'
'x,y,-z'
'x,-y,-z'
'-x,y,z'
'-x,y,-z'
'x,-y,z'
loop_
_atom_site_label
_atom_site_type_symbol
_atom_site_fract_x
_atom_site_fract_y
_atom_site_fract_z
Si1 Si 0.000 0.000 0.000
As1 As 0.500 0.500 0.000
P1 P 0.000 0.500 0.500
P2 P 0.500 0.000 0.500
```

***

# 5
Here is an optimized crystal structure of Tc2MoRu from Alexandria via LeMat-Bulk. Energies are from GGA-PBE.

Properties
energy above the lowest structure with this stoichiometry	267	meV per atom
ΔH_f (0 K)	0.283	eV per atom

```
data_Tc2MoRu
_chemical_formula_sum 'Tc8 Mo4 Ru4'
_cell_length_a 6.201
_cell_length_b 6.201
_cell_length_c 6.201
_cell_angle_alpha 90.00
_cell_angle_beta 90.00
_cell_angle_gamma 90.00
_space_group_name_H-M_alt 'F m -3 m'
_space_group_IT_number 225
_space_group_name_Hall '-F 4 2 3'
loop_
_atom_site_label
_atom_site_type_symbol
_atom_site_fract_x
_atom_site_fract_y
_atom_site_fract_z
Tc1 Tc 0.250 0.250 0.250
Mo1 Mo 0.000 0.000 0.000
Ru1 Ru 0.000 0.000 0.500
```

***

# 6
Here is an optimized crystal structure of TbPm6Sm2Er from Alexandria via LeMat-Bulk. Energies are from GGA-PBE.

Properties
ΔH_f (0 K)	0.115	eV per atom

```
data_TbPm6Sm2Er
_chemical_formula_sum 'Tb4 Pm24 Sm8 Er4'
_cell_length_a 9.199
_cell_length_b 15.339
_cell_length_c 9.722
_cell_angle_alpha 90.00
_cell_angle_beta 97.92
_cell_angle_gamma 90.00
_space_group_name_H-M_alt 'C 1 2/c 1'
_space_group_IT_number 15
loop_
_space_group_symop_operation_xyz
'x,y,z'
'-x,-y,-z'
'-x,y,-z+1/2'
'x,-y,z+1/2'
'x+1/2,y+1/2,z'
'-x+1/2,-y+1/2,-z'
'-x+1/2,y+1/2,-z+1/2'
'x+1/2,-y+1/2,z+1/2'
loop_
_atom_site_label
_atom_site_type_symbol
_atom_site_fract_x
_atom_site_fract_y
_atom_site_fract_z
Tb1 Tb 0.000 0.023 0.250
Pm1 Pm 0.061 0.183 0.945
Pm2 Pm 0.103 0.393 0.119
Pm3 Pm 0.208 0.222 0.311
Sm1 Sm 0.249 0.051 0.544
Er1 Er 0.000 0.409 0.750
```

***

# 7
Here is an optimized crystal structure of MnIn3Pt from Alexandria via LeMat-Bulk. Energies are from GGA-PBE.

Properties
energy above the lowest structure with this stoichiometry	0	meV per atom
ΔH_f (0 K)	0.284	eV per atom

```
data_MnIn3Pt
_chemical_formula_sum 'Mn1 In3 Pt1'
_cell_length_a 5.179
_cell_length_b 5.179
_cell_length_c 5.179
_cell_angle_alpha 90.00
_cell_angle_beta 90.00
_cell_angle_gamma 90.00
_space_group_name_H-M_alt 'P m -3 m'
_space_group_IT_number 221
_space_group_name_Hall '-P 4 2 3'
loop_
_atom_site_label
_atom_site_type_symbol
_atom_site_fract_x
_atom_site_fract_y
_atom_site_fract_z
Mn1 Mn 0.000 0.000 0.000
In1 In 0.000 0.500 0.500
Pt1 Pt 0.500 0.500 0.500
```

***

# 8
Here is an optimized crystal structure of Hf2Cr2Te from Alexandria via LeMat-Bulk. Energies are from GGA-PBE.

Properties
energy relative to the elements, uncorrected	0.0646	eV per atom
energy above the lowest structure with this stoichiometry	0	meV per atom

```
data_Hf2Cr2Te
_chemical_formula_sum 'Hf4 Cr4 Te2'
_cell_length_a 6.654
_cell_length_b 6.654
_cell_length_c 4.133
_cell_angle_alpha 90.00
_cell_angle_beta 90.00
_cell_angle_gamma 90.00
_space_group_name_H-M_alt 'P 4/m b m'
_space_group_IT_number 127
_space_group_name_Hall '-P 4 2ab'
loop_
_atom_site_label
_atom_site_type_symbol
_atom_site_fract_x
_atom_site_fract_y
_atom_site_fract_z
Hf1 Hf 0.177 0.323 0.000
Cr1 Cr 0.106 0.606 0.500
Te1 Te 0.000 0.000 0.500
```

***

# 9
Here is an optimized crystal structure of Ta2SnAs2 from Alexandria via LeMat-Bulk. Energies are from GGA-PBE.

Properties
energy above the lowest structure with this stoichiometry	0	meV per atom
ΔH_f (0 K)	-0.159	eV per atom

```
data_Ta2SnAs2
_chemical_formula_sum 'Ta4 Sn2 As4'
_cell_length_a 7.554
_cell_length_b 7.554
_cell_length_c 3.301
_cell_angle_alpha 90.00
_cell_angle_beta 90.00
_cell_angle_gamma 90.00
_space_group_name_H-M_alt 'P 4/m b m'
_space_group_IT_number 127
_space_group_name_Hall '-P 4 2ab'
loop_
_atom_site_label
_atom_site_type_symbol
_atom_site_fract_x
_atom_site_fract_y
_atom_site_fract_z
Ta1 Ta 0.145 0.355 0.000
Sn1 Sn 0.000 0.000 0.000
As1 As 0.141 0.641 0.500
```

***

# 10
Here is an optimized crystal structure of Ba2IrCl from Alexandria via LeMat-Bulk. Energies are from GGA-PBE.

Properties
energy relative to the elements, uncorrected	-0.9562	eV per atom
energy above the lowest structure with this stoichiometry	0	meV per atom

```
data_Ba2IrCl
_chemical_formula_sum 'Ba6 Ir3 Cl3'
_cell_length_a 4.5536
_cell_length_b 4.5536
_cell_length_c 23.1955
_cell_angle_alpha 90.00
_cell_angle_beta 90.00
_cell_angle_gamma 120.00
_space_group_name_H-M_alt 'R -3 m'
_space_group_IT_number 166
_space_group_name_Hall '-R 3 2"'
loop_
_atom_site_label
_atom_site_type_symbol
_atom_site_fract_x
_atom_site_fract_y
_atom_site_fract_z
Ba1 Ba 0.0000 0.0000 0.2393
Ir1 Ir 0.0000 0.0000 0.5000
Cl1 Cl 0.0000 0.0000 0.0000
```

***

# 11
Here is an optimized crystal structure of BaZnSbI2 from Alexandria via LeMat-Bulk. Energies are from GGA-PBE.

Properties
energy relative to the elements, uncorrected	-0.5628	eV per atom
energy above the lowest structure with this stoichiometry	0	meV per atom

```
data_BaZnSbI2
_chemical_formula_sum 'Ba1 Zn1 Sb1 I2'
_cell_length_a 5.822
_cell_length_b 5.822
_cell_length_c 5.347
_cell_angle_alpha 90.00
_cell_angle_beta 90.00
_cell_angle_gamma 90.00
_space_group_name_H-M_alt 'P 4/m m m'
_space_group_IT_number 123
_space_group_name_Hall '-P 4 2'
loop_
_atom_site_label
_atom_site_type_symbol
_atom_site_fract_x
_atom_site_fract_y
_atom_site_fract_z
Ba1 Ba 0.000 0.000 0.000
Zn1 Zn 0.500 0.500 0.500
Sb1 Sb 0.500 0.500 0.000
I1 I 0.000 0.500 0.500
```

***

# 12
Here is an optimized crystal structure of TbCe2Y from Alexandria via LeMat-Bulk. Energies are from GGA-PBE.

Properties
energy above the lowest structure with this stoichiometry	20	meV per atom
ΔH_f (0 K)	0.115	eV per atom

```
data_TbCe2Y
_chemical_formula_sum 'Tb1 Ce2 Y1'
_cell_length_a 3.474
_cell_length_b 3.474
_cell_length_c 10.200
_cell_angle_alpha 90.00
_cell_angle_beta 90.00
_cell_angle_gamma 90.00
_space_group_name_H-M_alt 'P 4/m m m'
_space_group_IT_number 123
_space_group_name_Hall '-P 4 2'
loop_
_atom_site_label
_atom_site_type_symbol
_atom_site_fract_x
_atom_site_fract_y
_atom_site_fract_z
Tb1 Tb 0.000 0.000 0.000
Ce1 Ce 0.500 0.500 0.248
Y1 Y 0.000 0.000 0.500
```

***

- What is the formula in the third record?
  Cs3HSe2